Material: Er4FeAg
Method: DFT, PBE
State: relaxed

## Properties
V = 24.8 Å³ per atom
ΔH_f (0 K) = -0.134 eV per atom
total magnetization = 0.0 μB per formula unit
density = 9.29 Mg/m³

a = 8.3885 Å, b = 12.2293 Å, c = 6.0225 Å
α = 90.00°, β = 105.54°, γ = 90.00°
With the nearest neighbours (Å) after each atom.
Space group C2/c (No. 15)
One atom of each set of equivalent atoms:
Er  0.1027  0.1664  0.0390 (multiplicity 8)  2 Fe 2.65-2.68
Er  0.2126  0.4201  0.4057 (multiplicity 8)  2 Fe 2.89-2.98, 2 Ag 3.11-3.13
Fe  0.0000  0.0015  0.2500 (multiplicity 4)  6 Er 2.65-2.89
Ag  0.0000  0.3715  0.7500 (multiplicity 4)  8 Er 3.04-3.27